# Fe3NiIr | Alexandria via LeMat-Bulk | PBE-GGA | optimized geometry
# E_form: 1489 meV per atom
data_Fe3NiIr
_cell_length_a 4.611
_cell_length_b 4.611
_cell_length_c 4.611
_cell_angle_alpha 90.00
_cell_angle_beta 90.00
_cell_angle_gamma 90.00
_space_group_name_H-M_alt 'P m -3 m'
_space_group_IT_number 221
_space_group_name_Hall '-P 4 2 3'
loop_
_atom_site_label
_atom_site_type_symbol
_atom_site_fract_x
_atom_site_fract_y
_atom_site_fract_z
Fe1 Fe 0.000 0.000 0.500
Ni1 Ni 0.500 0.500 0.500
Ir1 Ir 0.000 0.000 0.000

# Fe3Ni3Ir2 | Alexandria via LeMat-Bulk | PBE-GGA | optimized geometry
# E_form: -19 meV per atom
data_Fe3Ni3Ir2
_cell_length_a 3.740
_cell_length_b 3.743
_cell_length_c 13.940
_cell_angle_alpha 90.00
_cell_angle_beta 90.00
_cell_angle_gamma 90.00
_space_group_name_H-M_alt 'I m m m'
_space_group_IT_number 71
_space_group_name_Hall '-I 2 2'
loop_
_atom_site_label
_atom_site_type_symbol
_atom_site_fract_x
_atom_site_fract_y
_atom_site_fract_z
Fe1 Fe 0.000 0.000 0.000
Fe2 Fe 0.000 0.500 0.379
Ni1 Ni 0.000 0.000 0.500
Ni2 Ni 0.000 0.500 0.119
Ir1 Ir 0.000 0.000 0.251

# Fe2Ni8Ir | Alexandria via LeMat-Bulk | PBE-GGA | optimized geometry
# E_form: -41 meV per atom
data_Fe2Ni8Ir
_cell_length_a 12.894
_cell_length_b 3.577
_cell_length_c 5.662
_cell_angle_alpha 90.00
_cell_angle_beta 105.28
_cell_angle_gamma 90.00
_space_group_name_H-M_alt 'C 1 2/m 1'
_space_group_IT_number 12
loop_
_space_group_symop_operation_xyz
'x,y,z'
'-x,-y,-z'
'-x,y,-z'
'x,-y,z'
'x+1/2,y+1/2,z'
'-x+1/2,-y+1/2,-z'
'-x+1/2,y+1/2,-z'
'x+1/2,-y+1/2,z'
loop_
_atom_site_label
_atom_site_type_symbol
_atom_site_fract_x
_atom_site_fract_y
_atom_site_fract_z
Fe1 Fe 0.140 0.000 0.188
Ni1 Ni 0.047 0.000 0.725
Ni2 Ni 0.091 0.500 0.457
Ni3 Ni 0.183 0.500 0.906
Ni4 Ni 0.228 0.000 0.634
Ir1 Ir 0.000 0.500 0.000

# Fe8Ni6Ir | Alexandria via LeMat-Bulk | PBE-GGA | optimized geometry
# E_form: 156 meV per atom
data_Fe8Ni6Ir
_cell_length_a 6.3663
_cell_length_b 6.3663
_cell_length_c 15.8748
_cell_angle_alpha 90.00
_cell_angle_beta 90.00
_cell_angle_gamma 120.00
_space_group_name_H-M_alt 'R -3'
_space_group_IT_number 148
_space_group_name_Hall '-R 3'
loop_
_atom_site_label
_atom_site_type_symbol
_atom_site_fract_x
_atom_site_fract_y
_atom_site_fract_z
Fe1 Fe 0.0000 0.0000 0.2444
Fe2 Fe 0.0069 0.2606 0.6268
Ni1 Ni 0.0088 0.7623 0.8807
Ir1 Ir 0.0000 0.0000 0.5000

# Fe4NiIr2 | Alexandria via LeMat-Bulk | PBE-GGA | optimized geometry
# E_form: 15 meV per atom
data_Fe4NiIr2
_cell_length_a 15.350
_cell_length_b 4.595
_cell_length_c 5.019
_cell_angle_alpha 90.00
_cell_angle_beta 91.96
_cell_angle_gamma 90.00
_space_group_name_H-M_alt 'C 1 2/c 1'
_space_group_IT_number 15
loop_
_space_group_symop_operation_xyz
'x,y,z'
'-x,-y,-z'
'-x,y,-z+1/2'
'x,-y,z+1/2'
'x+1/2,y+1/2,z'
'-x+1/2,-y+1/2,-z'
'-x+1/2,y+1/2,-z+1/2'
'x+1/2,-y+1/2,z+1/2'
loop_
_atom_site_label
_atom_site_type_symbol
_atom_site_fract_x
_atom_site_fract_y
_atom_site_fract_z
Fe1 Fe 0.065 0.100 0.398
Fe2 Fe 0.137 0.411 0.034
Ni1 Ni 0.000 0.415 0.750
Ir1 Ir 0.211 0.087 0.676

# FeNiIr3 | Alexandria via LeMat-Bulk | PBE-GGA | optimized geometry
# E_form: 1914 meV per atom
data_FeNiIr3
_cell_length_a 4.393
_cell_length_b 4.393
_cell_length_c 4.393
_cell_angle_alpha 90.00
_cell_angle_beta 90.00
_cell_angle_gamma 90.00
_space_group_name_H-M_alt 'P m -3 m'
_space_group_IT_number 221
_space_group_name_Hall '-P 4 2 3'
loop_
_atom_site_label
_atom_site_type_symbol
_atom_site_fract_x
_atom_site_fract_y
_atom_site_fract_z
Fe1 Fe 0.000 0.000 0.000
Ni1 Ni 0.500 0.500 0.500
Ir1 Ir 0.000 0.500 0.500

# FeNi6Ir | Alexandria via LeMat-Bulk | PBE-GGA | optimized geometry
# E_form: -13 meV per atom
data_FeNi6Ir
_cell_length_a 7.161
_cell_length_b 10.166
_cell_length_c 10.173
_cell_angle_alpha 90.00
_cell_angle_beta 90.00
_cell_angle_gamma 90.00
_space_group_name_H-M_alt 'C m m m'
_space_group_IT_number 65
_space_group_name_Hall '-C 2 2'
loop_
_atom_site_label
_atom_site_type_symbol
_atom_site_fract_x
_atom_site_fract_y
_atom_site_fract_z
Fe1 Fe 0.000 0.000 0.247
Fe2 Fe 0.000 0.249 0.000
Ni1 Ni 0.000 0.000 0.000
Ni2 Ni 0.000 0.000 0.500
Ni3 Ni 0.000 0.249 0.246
Ni4 Ni 0.000 0.500 0.000
Ni5 Ni 0.000 0.500 0.500
Ni6 Ni 0.247 0.124 0.372
Ni7 Ni 0.247 0.126 0.122
Ir1 Ir 0.000 0.249 0.500
Ir2 Ir 0.000 0.500 0.248

# Fe3NiIr12 | Alexandria via LeMat-Bulk | PBE-GGA | optimized geometry
# E_form: -7 meV per atom
data_Fe3NiIr12
_cell_length_a 3.822
_cell_length_b 3.822
_cell_length_c 15.277
_cell_angle_alpha 90.00
_cell_angle_beta 90.00
_cell_angle_gamma 90.00
_space_group_name_H-M_alt 'P 4/m m m'
_space_group_IT_number 123
_space_group_name_Hall '-P 4 2'
loop_
_atom_site_label
_atom_site_type_symbol
_atom_site_fract_x
_atom_site_fract_y
_atom_site_fract_z
Fe1 Fe 0.000 0.000 0.000
Fe2 Fe 0.000 0.000 0.254
Ni1 Ni 0.000 0.000 0.500
Ir1 Ir 0.000 0.500 0.125
Ir2 Ir 0.000 0.500 0.374
Ir3 Ir 0.500 0.500 0.000
Ir4 Ir 0.500 0.500 0.250
Ir5 Ir 0.500 0.500 0.500

no.,VASP energy (eV/atom)
1,-6.52
2,-7.58
3,-6.59
4,-7.26
5,-8.18
6,-6.25
7,-6.51
8,-8.60